Entry 1:
Compound: CsBr2F
Source: Alexandria
Functional: GGA-PBE
Structure: optimized geometry

Structure (POSCAR):
```
CsBr2F
1.0
4.3826 0.0000 0.0000
0.0000 4.3826 0.0000
0.0000 0.0000 7.3709
Cs Br F
1 2 1
direct
0.0000 0.0000 0.0000 Cs
0.5000 0.5000 0.3376 Br
0.5000 0.5000 0.6624 Br
0.5000 0.5000 0.0000 F
```

- total DFT energy (no corrections) (eV per atom) = -2.89
- uncorrected formation energy (eV/atom) = -1.368
- E above lowest polymorph (eV/atom) = 0.000
- mass density (g cm⁻³) = 3.66
- density of states at the Fermi level (states/eV/f.u.) = 0.00
- space group = P4/mmm, No. 123

---

Entry 2:
Compound: Cs2BrF2
Source: Alexandria
Functional: GGA-PBE
Structure: optimized geometry

Structure (POSCAR):
```
Cs2BrF2
1.0
5.3989 0.0000 0.0000
-2.6994 4.6756 0.0000
0.0000 0.0000 20.2886
Cs Br F
6 3 6
direct
0.0000 0.0000 0.2483 Cs
0.0000 0.0000 0.7517 Cs
0.3333 0.6667 0.4184 Cs
0.3333 0.6667 0.9149 Cs
0.6667 0.3333 0.0851 Cs
0.6667 0.3333 0.5816 Cs
0.0000 0.0000 0.5000 Br
0.3333 0.6667 0.1667 Br
0.6667 0.3333 0.8333 Br
0.0000 0.0000 0.1044 F
0.0000 0.0000 0.8956 F
0.3333 0.6667 0.5623 F
0.3333 0.6667 0.7711 F
0.6667 0.3333 0.2289 F
0.6667 0.3333 0.4377 F
```

- total DFT energy (no corrections) (eV per atom) = -3.22
- uncorrected formation energy (eV/atom) = -1.791
- E above lowest polymorph (eV/atom) = 0.212
- mass density (g cm⁻³) = 3.73
- density of states at the Fermi level (states/eV/f.u.) = 5.70
- space group = R-3m, No. 166